# 1
Material: TlAg5Cl7
Method: DFT, PBE
State: relaxed

## Properties
SG = No. 2
energy = -2.796 eV/atom
formation energy without anion corrections = -0.5232 eV per atom
size of the total moment = 0.000 μB per atom

Cell lengths 4.169, 6.849, 22.907 Å; angles 89.98, 90.00, 77.42 degrees
Fractional positions:
1 Tl 0.137 0.131 0.250
2 Tl 0.863 0.869 0.750
3 Ag 0.000 0.500 0.000
4 Ag 0.000 0.500 0.500
5 Ag 0.297 0.924 0.929
6 Ag 0.298 0.924 0.571
7 Ag 0.391 0.618 0.144
8 Ag 0.391 0.619 0.356
9 Ag 0.609 0.381 0.644
10 Ag 0.609 0.382 0.856
11 Ag 0.702 0.076 0.429
12 Ag 0.703 0.076 0.071
13 Cl 0.080 0.349 0.106
14 Cl 0.080 0.349 0.394
15 Cl 0.251 0.119 0.836
16 Cl 0.252 0.119 0.664
17 Cl 0.348 0.777 0.032
18 Cl 0.348 0.777 0.468
19 Cl 0.485 0.481 0.250
20 Cl 0.515 0.519 0.750
21 Cl 0.652 0.223 0.532
22 Cl 0.652 0.223 0.968
23 Cl 0.748 0.881 0.336
24 Cl 0.749 0.881 0.164
25 Cl 0.920 0.651 0.606
26 Cl 0.920 0.651 0.894

# 2
Material: La12Nd2Ho5
Method: DFT, PBE
State: relaxed

## Properties
SG = No. 12
relative energy among the computed polymorphs = 0.000 eV per atom
energy = -4.717 eV/atom
ΔH_f (0 K) = 186 kJ/mol of formula units
size of the total moment = 0.000 μB per atom

Cell lengths 8.937, 8.937, 9.579 Å; angles 109.79, 109.79, 83.35 degrees
Fractional positions:
1 La 0.028 0.547 0.689
2 La 0.065 0.065 0.273
3 La 0.135 0.655 0.093
4 La 0.345 0.865 0.907
5 La 0.399 0.399 0.577
6 La 0.453 0.972 0.311
7 La 0.547 0.028 0.689
8 La 0.601 0.601 0.423
9 La 0.655 0.135 0.093
10 La 0.865 0.345 0.907
11 La 0.935 0.935 0.727
12 La 0.972 0.453 0.311
13 Nd 0.213 0.787 0.500
14 Nd 0.787 0.213 0.500
15 Ho 0.196 0.196 0.734
16 Ho 0.284 0.284 0.139
17 Ho 0.500 0.500 0.000
18 Ho 0.716 0.716 0.861
19 Ho 0.804 0.804 0.266

# 3
Material: Tl9CdPb4
Method: DFT, PBE
State: relaxed

## Properties
SG = No. 194
energy = -2.602 eV/atom
ΔH_f (0 K) = 59 kJ/mol of formula units
size of the total moment = 0.000 μB per atom

Cell lengths 9.838, 9.838, 10.770 Å; angles 90.00, 90.00, 120.00 degrees
Fractional positions:
1 Tl 0.067 0.533 0.250
2 Tl 0.205 0.411 0.539
3 Tl 0.205 0.411 0.961
4 Tl 0.205 0.795 0.539
5 Tl 0.205 0.795 0.961
6 Tl 0.411 0.205 0.039
7 Tl 0.411 0.205 0.461
8 Tl 0.467 0.533 0.250
9 Tl 0.467 0.933 0.250
10 Tl 0.533 0.067 0.750
11 Tl 0.533 0.467 0.750
12 Tl 0.589 0.795 0.539
13 Tl 0.589 0.795 0.961
14 Tl 0.795 0.205 0.039
15 Tl 0.795 0.205 0.461
16 Tl 0.795 0.589 0.039
17 Tl 0.795 0.589 0.461
18 Tl 0.933 0.467 0.750
19 Cd 0.333 0.667 0.750
20 Cd 0.667 0.333 0.250
21 Pb 0.000 0.000 0.000
22 Pb 0.000 0.000 0.500
23 Pb 0.116 0.231 0.250
24 Pb 0.116 0.884 0.250
25 Pb 0.231 0.116 0.750
26 Pb 0.769 0.884 0.250
27 Pb 0.884 0.116 0.750
28 Pb 0.884 0.769 0.750

# 4
Material: TiNbB3
Method: DFT, PBE
State: relaxed

## Properties
SG = No. 221
relative energy among the computed polymorphs = 2.027 eV per atom
energy = -6.503 eV/atom
ΔH_f (0 K) = 529 kJ/mol of formula units
size of the total moment = 0.000 μB per atom

Cell lengths 4.123, 4.123, 4.123 Å; angles 90.00, 90.00, 90.00 degrees
Fractional positions:
1 Ti 0.000 0.000 0.000
2 Nb 0.500 0.500 0.500
3 B 0.000 0.500 0.500
4 B 0.500 0.000 0.500
5 B 0.500 0.500 0.000

# 5
Material: B2C
Method: DFT, PBE
State: relaxed

## Properties
SG = No. 12
relative energy among the computed polymorphs = 0.140 eV per atom
energy = -7.201 eV/atom
ΔH_f (0 K) = 94 kJ/mol of formula units
size of the total moment = 0.000 μB per atom

Cell lengths 4.548, 4.548, 7.681 Å; angles 107.15, 107.15, 33.55 degrees
Fractional positions:
1 B 0.102 0.102 0.071
2 B 0.117 0.117 0.659
3 B 0.317 0.317 0.057
4 B 0.393 0.393 0.752
5 B 0.607 0.607 0.248
6 B 0.683 0.683 0.943
7 B 0.883 0.883 0.341
8 B 0.898 0.898 0.929
9 C 0.242 0.242 0.548
10 C 0.430 0.430 0.264
11 C 0.570 0.570 0.736
12 C 0.758 0.758 0.452

# 6
Material: Ac2Zn4Ga3Ag
Method: DFT, PBE
State: relaxed

## Properties
SG = No. 115
energy = -2.936 eV/atom
ΔH_f (0 K) = -397 kJ/mol of formula units
size of the total moment = 0.000 μB per atom

Cell lengths 4.497, 4.497, 10.615 Å; angles 90.00, 90.00, 90.00 degrees
Fractional positions:
1 Ac 0.000 0.500 0.245
2 Ac 0.500 0.000 0.755
3 Zn 0.000 0.000 0.000
4 Zn 0.000 0.500 0.631
5 Zn 0.500 0.000 0.369
6 Zn 0.500 0.500 0.000
7 Ga 0.000 0.500 0.871
8 Ga 0.500 0.000 0.129
9 Ga 0.500 0.500 0.500
10 Ag 0.000 0.000 0.500

# 7
Material: Ti2TeAuS
Method: DFT, PBE
State: relaxed

## Properties
SG = No. 123
energy = -4.742 eV/atom
formation energy without anion corrections = 0.5257 eV per atom
size of the total moment = 0.501 μB per atom

Cell lengths 5.175, 5.175, 4.567 Å; angles 90.00, 90.00, 90.00 degrees
Fractional positions:
1 Ti 0.000 0.500 0.000
2 Ti 0.500 0.000 0.000
3 Te 0.000 0.000 0.500
4 Au 0.500 0.500 0.000
5 S 0.500 0.500 0.500